# NaAl3Te | Alexandria | PBE | optimized geometry
# energy relative to the lowest polymorph listed for this composition: 0.0000 eV per atom
# energy relative to the elements, uncorrected: 721 meV/atom
# DOS at the Fermi energy: 3.4 states/eV/cell
# symmetry: Pm-3m
# total DFT energy (no corrections): -2.4170 eV/atom
data_NaAl3Te
_chemical_formula_sum 'Na1 Al3 Te1'
_space_group_name_H-M_alt 'P 1'
_space_group_IT_number 1
_space_group_name_Hall 'P 1'
_cell_length_a 5.512
_cell_length_b 5.512
_cell_length_c 5.512
_cell_angle_alpha 90.00
_cell_angle_beta 90.00
_cell_angle_gamma 90.00
loop_
_atom_site_label
_atom_site_fract_x
_atom_site_fract_y
_atom_site_fract_z
Na1 0.000 0.000 0.000
Al1 0.000 0.500 0.500
Al2 0.500 0.000 0.500
Al3 0.500 0.500 0.000
Te1 0.500 0.500 0.500

=====

# Zn2ReSe | Alexandria | PBE | optimized geometry
# energy relative to the lowest polymorph listed for this composition: 0.3004 eV per atom
# energy relative to the elements, uncorrected: 493 meV/atom
# DOS at the Fermi energy: 6.2 states/eV/cell
# symmetry: C2/m
# total DFT energy (no corrections): -4.1271 eV/atom
data_Zn2ReSe
_chemical_formula_sum 'Zn4 Re2 Se2'
_space_group_name_H-M_alt 'P 1'
_space_group_IT_number 1
_space_group_name_Hall 'P 1'
_cell_length_a 10.058
_cell_length_b 2.912
_cell_length_c 4.352
_cell_angle_alpha 90.00
_cell_angle_beta 94.15
_cell_angle_gamma 90.00
loop_
_atom_site_label
_atom_site_fract_x
_atom_site_fract_y
_atom_site_fract_z
Zn1 0.232 0.000 0.236
Zn2 0.268 0.500 0.764
Zn3 0.732 0.500 0.236
Zn4 0.768 0.000 0.764
Re1 0.000 0.500 0.000
Re2 0.500 0.000 0.000
Se1 0.000 0.000 0.500
Se2 0.500 0.500 0.500

=====

# K2RhSeO | Alexandria | PBE | optimized geometry
# energy relative to the elements, uncorrected: 23 meV/atom
# DOS at the Fermi energy: 4.1 states/eV/cell
# symmetry: P4/mmm
# total DFT energy (no corrections): -3.5749 eV/atom
data_K2RhSeO
_chemical_formula_sum 'K2 Rh1 Se1 O1'
_space_group_name_H-M_alt 'P 1'
_space_group_IT_number 1
_space_group_name_Hall 'P 1'
_cell_length_a 5.303
_cell_length_b 5.303
_cell_length_c 4.103
_cell_angle_alpha 90.00
_cell_angle_beta 90.00
_cell_angle_gamma 90.00
loop_
_atom_site_label
_atom_site_fract_x
_atom_site_fract_y
_atom_site_fract_z
K1 0.000 0.500 0.000
K2 0.500 0.000 0.000
Rh1 0.000 0.000 0.500
Se1 0.500 0.500 0.500
O1 0.500 0.500 0.000

=====

# Sr3LiRh | Alexandria | PBE | optimized geometry
# energy relative to the lowest polymorph listed for this composition: 0.0136 eV per atom
# energy relative to the elements: -133 meV per atom
# DOS at the Fermi energy: 6.6 states/eV/cell
# symmetry: Cm
# total DFT energy (no corrections): -2.9956 eV/atom
data_Sr3LiRh
_chemical_formula_sum 'Sr6 Li2 Rh2'
_space_group_name_H-M_alt 'P 1'
_space_group_IT_number 1
_space_group_name_Hall 'P 1'
_cell_length_a 12.264
_cell_length_b 12.264
_cell_length_c 6.787
_cell_angle_alpha 103.51
_cell_angle_beta 103.51
_cell_angle_gamma 21.08
loop_
_atom_site_label
_atom_site_fract_x
_atom_site_fract_y
_atom_site_fract_z
Sr1 0.000 0.000 0.000
Sr2 0.188 0.188 0.609
Sr3 0.353 0.353 0.750
Sr4 0.530 0.530 0.512
Sr5 0.656 0.656 0.125
Sr6 0.883 0.883 0.308
Li1 0.270 0.270 0.265
Li2 0.769 0.769 0.904
Rh1 0.441 0.441 0.148
Rh2 0.765 0.765 0.494